Here is an optimized crystal structure of NpSnIr2 from Alexandria. Energies are from PBE.

Geometry as extended XYZ:
```
4
Lattice="4.4244 0.0000 0.0000 0.0000 4.4244 0.0000 0.0000 0.0000 3.8726" Properties=species:S:1:pos:R:3 pbc="T T T"
Np 0.0000 0.0000 0.0000
Sn 2.2122 2.2122 0.0000
Ir 0.0000 2.2122 1.9363
Ir 2.2122 0.0000 1.9363
```

Properties
Energy of formation   -128.9 meV per atom
Crystal system   tetragonal



Here is an optimized crystal structure of NpSn2Ir from Alexandria. Energies are from PBE.

Geometry as extended XYZ:
```
12
Lattice="3.1204 0.0000 0.0000 -1.5602 2.7023 0.0000 0.0000 0.0000 31.8130" Properties=species:S:1:pos:R:3 pbc="T T T"
Np 0.0000 0.0000 0.0000
Np 0.0000 1.8016 21.2087
Np 1.5602 0.9008 10.6043
Sn 0.0000 0.0000 3.1823
Sn 0.0000 0.0000 28.6307
Sn 0.0000 1.8016 18.0263
Sn 0.0000 1.8016 24.3909
Sn 1.5602 0.9008 7.4220
Sn 1.5602 0.9008 13.7866
Ir 0.0000 0.0000 15.9065
Ir 0.0000 1.8016 5.3022
Ir 1.5602 0.9008 26.5108
```

Properties
Energy of formation   276.7 meV per atom
Crystal system   trigonal



Here is an optimized crystal structure of NpZnSnIr from Alexandria. Energies are from PBE.

Geometry as extended XYZ:
```
16
Lattice="6.7807 0.0000 0.0000 0.0000 6.7807 0.0000 0.0000 0.0000 6.7807" Properties=species:S:1:pos:R:3 pbc="T T T"
Np 0.0000 0.0000 0.0000
Np 0.0000 3.3903 3.3903
Np 3.3903 0.0000 3.3903
Np 3.3903 3.3903 0.0000
Zn 1.6952 1.6952 5.0855
Zn 1.6952 5.0855 1.6952
Zn 5.0855 1.6952 1.6952
Zn 5.0855 5.0855 5.0855
Sn 0.0000 0.0000 3.3903
Sn 0.0000 3.3903 0.0000
Sn 3.3903 0.0000 0.0000
Sn 3.3903 3.3903 3.3903
Ir 1.6952 1.6952 1.6952
Ir 1.6952 5.0855 5.0855
Ir 5.0855 1.6952 5.0855
Ir 5.0855 5.0855 1.6952
```

Properties
Energy of formation   -111.2 meV per atom
Crystal system   cubic



Here is an optimized crystal structure of SrNp2Ir9 from Alexandria. Energies are from PBE.

Geometry as extended XYZ:
```
12
Lattice="2.6660 1.5392 8.7552 -2.6660 1.5392 8.7552 0.0000 -3.0785 8.7552" Properties=species:S:1:pos:R:3 pbc="T T T"
Sr 0.0000 0.0000 0.0000
Np 0.0000 0.0000 3.6857
Np 0.0000 0.0000 22.5798
Ir -1.3439 -0.7759 10.9588
Ir 0.0000 0.0000 8.7399
Ir 0.0000 -1.5519 15.3067
Ir -1.3439 0.7759 15.3067
Ir 0.0000 0.0000 13.1327
Ir 1.3439 -0.7759 10.9588
Ir 0.0000 1.5519 10.9588
Ir 0.0000 0.0000 17.5256
Ir 1.3439 0.7759 15.3067
```

Properties
Energy of formation   -268.5 meV per atom
Crystal system   trigonal



Here is an optimized crystal structure of Sr2NpIr2 from Alexandria. Energies are from PBE.

Geometry as extended XYZ:
```
10
Lattice="5.5336 -3.3144 0.0000 5.5336 3.3144 0.0000 -1.1589 0.0000 7.3686" Properties=species:S:1:pos:R:3 pbc="T T T"
Sr 1.4853 0.7748 1.0207
Sr 0.9058 -0.7748 4.7050
Sr 9.0025 0.7748 2.6635
Sr 8.4230 -0.7748 6.3478
Np 5.2439 0.4214 1.8421
Np 4.6644 -0.4214 5.5264
Ir 3.3463 0.9962 3.5866
Ir 7.1415 0.9962 0.0977
Ir 2.7668 -0.9962 7.2709
Ir 6.5620 -0.9962 3.7820
```

Properties
Energy of formation   -224.0 meV per atom
Crystal system   monoclinic



Here is an optimized crystal structure of NpTa2Ir from Alexandria. Energies are from PBE.

Geometry as extended XYZ:
```
16
Lattice="6.5938 0.0000 0.0000 0.0000 6.5938 0.0000 0.0000 0.0000 6.5938" Properties=species:S:1:pos:R:3 pbc="T T T"
Np 0.0000 0.0000 0.0000
Np 0.0000 3.2969 3.2969
Np 3.2969 0.0000 3.2969
Np 3.2969 3.2969 0.0000
Ta 1.6484 1.6484 1.6484
Ta 1.6484 1.6484 4.9453
Ta 1.6484 4.9453 1.6484
Ta 1.6484 4.9453 4.9453
Ta 4.9453 1.6484 1.6484
Ta 4.9453 1.6484 4.9453
Ta 4.9453 4.9453 1.6484
Ta 4.9453 4.9453 4.9453
Ir 0.0000 0.0000 3.2969
Ir 0.0000 3.2969 0.0000
Ir 3.2969 0.0000 0.0000
Ir 3.2969 3.2969 3.2969
```

Properties
Energy of formation   167.5 meV per atom
Crystal system   cubic



Here is an optimized crystal structure of NpTaIr from Alexandria. Energies are from PBE.

Geometry as extended XYZ:
```
6
Lattice="2.2219 1.2828 6.7101 -2.2219 1.2828 6.7101 0.0000 -2.5656 6.7101" Properties=species:S:1:pos:R:3 pbc="T T T"
Np 0.0000 0.0000 3.0469
Np 0.0000 0.0000 17.0834
Ta 0.0000 0.0000 5.8346
Ta 0.0000 0.0000 14.2957
Ir 0.0000 0.0000 8.4242
Ir 0.0000 0.0000 11.7061
```

Properties
Energy of formation   -79.5 meV per atom
Crystal system   trigonal



Here is an optimized crystal structure of TbNpIr from Alexandria. Energies are from PBE.

Geometry as extended XYZ:
```
12
Lattice="10.7911 0.0000 0.0000 0.0000 3.8177 0.0000 -4.5386 0.0000 6.4007" Properties=species:S:1:pos:R:3 pbc="T T T"
Tb -0.7784 0.0000 2.3390
Tb 1.6354 1.9089 4.0616
Tb 4.6172 1.9089 2.3390
Tb 7.0309 0.0000 4.0616
Np 1.1148 1.9089 0.2924
Np -0.2578 0.0000 6.1082
Np 6.5103 0.0000 0.2924
Np 5.1378 1.9089 6.1082
Ir -1.4854 1.9089 4.5889
Ir 2.3423 0.0000 1.8118
Ir 3.9102 0.0000 4.5889
Ir 7.7379 1.9089 1.8118
```

Properties
Energy of formation   -363.7 meV per atom
Offset from the most stable computed form   0.0 kJ/mol of atoms
Crystal system   monoclinic



> Among the records above, which one has the lowest energy of formation?

TbNpIr



> Number 6 is which compound?

NpTa2Ir



> Among the records above, which one has the lowest energy of formation?

TbNpIr